The following is a PBE with a Hubbard U calculation of crystalline BeCrCuO4 at its relaxed geometry, from Alexandria.

* DOS(E_F): 2.336 states/eV/f.u.
* size of the total moment: 3.94 Bohr magnetons per cell
* E_tot: -6.5421 eV per atom

Lattice parameters (Å, degrees): 5.323 8.009 6.142 90.00 90.00 90.00
Space group Cmcm (No. 63)
Symmetry-distinct sites (fractional):
Be (0.000, 0.143, 0.250) [4 per cell]
Cr (0.000, 0.500, 0.000) [4 per cell]
Cu (0.000, 0.186, 0.750) [4 per cell]
O (0.000, 0.258, 0.037) [8 per cell]
O (0.250, 0.017, 0.250) [8 per cell]